(1)
A plane-wave DFT calculation with PBE-GGA was carried out for La9Nd4Zn11 after structural relaxation.

a = 15.6692 Å, b = 22.4083 Å, c = 3.6439 Å
α = 90.00°, β = 90.00°, γ = 90.00°
With the nearest neighbours (Å) after each atom.
Space group Cmmm (No. 65)
One atom of each set of equivalent atoms:
La 0.0000 0.0000 0.0000 [2 per cell]  4 Nd 3.23, 4 Zn 3.52
La 0.1150 0.2396 0.0000 [8 per cell]  8 Zn 3.18-3.49, 1 Nd 3.36
La 0.1201 0.4136 0.0000 [8 per cell]  8 Zn 3.21-3.32, 1 Nd 3.48
Nd 0.1577 0.0929 0.0000 [8 per cell]  6 Zn 3.14-3.21, 3 La 3.23-3.48
Zn 0.0000 0.1342 0.5000 [4 per cell]  4 Nd 3.21, 6 La 3.49-3.52
Zn 0.0000 0.3308 0.5000 [4 per cell]  8 La 3.21-3.28
Zn 0.0000 0.5000 0.5000 [2 per cell]  8 La 3.26, 2 Zn 3.64
Zn 0.2359 0.3197 0.5000 [8 per cell]  2 Nd 3.15, 1 Zn 3.16, 6 La 3.18-3.32
Zn 0.2470 0.5000 0.5000 [4 per cell]  4 Nd 3.14, 4 La 3.32

Output
- DOS at the Fermi energy (states/eV per cell) = 46.5
- V (Å³/f.u.) = 639.7
- spin magnetization (μB per formula unit) = 0.0
- calculated formation energy (kJ per mole of atoms) = -23



(2)
A plane-wave DFT calculation with PBE-GGA was carried out for LaNd6Zn2 after structural relaxation.

a = 12.8591 Å, b = 3.7733 Å, c = 12.2065 Å
α = 90.00°, β = 109.17°, γ = 90.00°
With the nearest neighbours (Å) after each atom.
Space group C2/m (No. 12)
One atom of each set of equivalent atoms:
La 0.0000 0.0000 0.0000 [2 per cell]  4 Zn 3.25
Nd 0.0268 0.0000 0.3285 [4 per cell]  2 Zn 3.15, 1 Nd 3.49
Nd 0.1863 0.5000 0.5888 [4 per cell]  2 Zn 3.27, 4 Nd 3.47-3.64
Nd 0.1893 0.5000 0.8741 [4 per cell]  2 Zn 3.17, 3 Nd 3.47-3.51
Zn 0.1523 0.5000 0.2074 [4 per cell]  6 Nd 3.15-3.27, 2 La 3.25

Output
- DOS at the Fermi energy (states/eV per cell) = 20.2
- V (Å³/f.u.) = 279.7
- spin magnetization (μB per formula unit) = 0.0
- calculated formation energy (kJ per mole of atoms) = -13



(3)
A plane-wave DFT calculation with PBE-GGA was carried out for LaNd5Zn6 after structural relaxation.

a = 5.2213 Å, b = 7.4112 Å, c = 8.2638 Å
α = 90.00°, β = 108.26°, γ = 90.00°
With the nearest neighbours (Å) after each atom.
Space group P2/m (No. 10)
One atom of each set of equivalent atoms:
La 0.0000 0.0000 0.0000 [1 per cell]  8 Zn 3.22-3.24
Nd 0.0000 0.5000 0.0000 [1 per cell]  8 Zn 3.19-3.22
Nd 0.3329 0.0000 0.6666 [2 per cell]  8 Zn 3.19-3.22
Nd 0.3343 0.5000 0.6693 [2 per cell]  8 Zn 3.18-3.19
Zn 0.1689 0.2526 0.3371 [4 per cell]  7 Nd 3.19-3.22, 1 La 3.24
Zn 0.5000 0.2532 0.0000 [2 per cell]  6 Nd 3.18-3.22, 2 La 3.22

Output
- DOS at the Fermi energy (states/eV per cell) = 13.9
- V (Å³/f.u.) = 303.7
- spin magnetization (μB per formula unit) = 0.0
- calculated formation energy (kJ per mole of atoms) = -30